Record 1
The following is a DFT calculation (GGA-PBE) of an optimized crystal structure of MgTa2Ru.

abc: 2.8787 4.4251 5.5480
angles: 90.00 104.52 90.00
Closest atoms and distances in Å follow each position.
Fractional positions:
Mg 0.0000 0.0000 0.0000  2 Ru 2.79, 4 Ta 2.88, 2 Mg 2.88
Ta 0.2739 0.5000 0.7343  4 Ta 2.68-2.91, 2 Ru 2.73, 2 Mg 2.88
Ta 0.7261 0.5000 0.2657  4 Ta 2.68-2.91, 2 Ru 2.73, 2 Mg 2.88
Ru 0.5000 0.0000 0.5000  4 Ta 2.73, 2 Mg 2.79, 2 Ru 2.88

Summary:
The calculation puts the formation energy at 0.075 eV/atom. The total energy is -8.57 eV per atom. As for the space group: P2/m, No. 10. The density of states at the Fermi level comes out at 0.998 states/eV per atom.

Record 2
The following is a DFT calculation (GGA-PBE) of an optimized crystal structure of Mg2TaRu.

abc: 5.4662 5.4662 2.7966
angles: 97.80 97.80 120.79
Closest atoms and distances in Å follow each position.
Fractional positions:
Mg 0.0000 0.5000 0.0000  4 Mg 2.70-2.80, 2 Ta 2.90, 2 Ru 2.90
Mg 0.5000 0.0000 0.0000  4 Mg 2.70-2.80, 2 Ta 2.90, 2 Ru 2.90
Ta 0.0000 0.0000 0.5000  2 Ru 2.70, 2 Ta 2.80, 4 Mg 2.90
Ru 0.5000 0.5000 0.5000  2 Ta 2.70, 2 Ru 2.80, 4 Mg 2.90

Summary:
The calculation puts the formation energy at 0.199 eV/atom. The total energy is -5.88 eV per atom. As for the space group: C2/m, No. 12. The density of states at the Fermi level comes out at 0.944 states/eV per atom.

Record 3
The following is a DFT calculation (GGA-PBE) of an optimized crystal structure of MgTa2Ru.

abc: 3.3048 4.4717 4.5662
angles: 90.00 90.00 90.00
Closest atoms and distances in Å follow each position.
Fractional positions:
Mg 0.0000 0.0000 0.0000  4 Ru 2.78, 4 Ta 2.82
Ta 0.0000 0.5000 0.5000  4 Ta 2.78, 4 Ru 2.82
Ta 0.5000 0.0000 0.5000  4 Ta 2.78, 4 Mg 2.82
Ru 0.5000 0.5000 0.0000  4 Mg 2.78, 4 Ta 2.82

Summary:
The calculation puts the formation energy at 0.100 eV/atom. The total energy is -8.54 eV per atom. As for the space group: Pmmm, No. 47. The density of states at the Fermi level comes out at 1.017 states/eV per atom.

Please write out number 3 again, unchanged.
The following is a DFT calculation (GGA-PBE) of an optimized crystal structure of MgTa2Ru.

abc: 3.3048 4.4717 4.5662
angles: 90.00 90.00 90.00
Closest atoms and distances in Å follow each position.
Fractional positions:
Mg 0.0000 0.0000 0.0000  4 Ru 2.78, 4 Ta 2.82
Ta 0.0000 0.5000 0.5000  4 Ta 2.78, 4 Ru 2.82
Ta 0.5000 0.0000 0.5000  4 Ta 2.78, 4 Mg 2.82
Ru 0.5000 0.5000 0.0000  4 Mg 2.78, 4 Ta 2.82

Summary:
The calculation puts the formation energy at 0.100 eV/atom. The total energy is -8.54 eV per atom. As for the space group: Pmmm, No. 47. The density of states at the Fermi level comes out at 1.017 states/eV per atom.